[1]
{"formula": "Hg2AsCl", "functional": "GGA-PBE", "state": "relaxed", "cell": [[-0.3418, 0.5063, -4.5010], [5.5422, -0.8854, -0.5204], [2.5808, -4.9957, -0.7579]], "species": ["As", "Hg", "Hg", "Cl"], "fractional_positions": [[0.5000, 0.2500, 0.2500], [0.0000, 0.0838, 0.0779], [0.0000, 0.4162, 0.4221], [0.5000, 0.7500, 0.7500]], "m_tot_mub_per_fu": 0.00, "e_form_raw_ev_per_atom": -0.022, "total_energy_ev_per_cell": -7.2}

[2]
{"formula": "Hg2AsCl", "functional": "GGA-PBE", "state": "relaxed", "cell": [[3.4903, 0.0000, 0.0000], [0.0000, 3.4978, 0.0000], [0.0000, 0.0000, 7.6017]], "species": ["As", "Hg", "Hg", "Cl"], "fractional_positions": [[0.5000, 0.5000, 0.2500], [0.0000, 0.0000, 0.0183], [0.0000, 0.0000, 0.4817], [0.5000, 0.5000, 0.7500]], "m_tot_mub_per_fu": 0.00, "e_form_raw_ev_per_atom": 0.135, "total_energy_ev_per_cell": -6.6}

[3]
{"formula": "HgAsCl", "functional": "GGA-PBE", "state": "relaxed", "cell": [[7.1323, -0.0338, 0.0228], [5.8436, 3.2864, 0.0029], [1.2887, -1.2654, 3.0697]], "species": ["As", "Hg", "Cl"], "fractional_positions": [[0.0130, 0.0130, 0.9870], [0.6663, 0.6663, 0.3337], [0.3207, 0.3207, 0.6793]], "m_tot_mub_per_fu": 0.00, "e_form_raw_ev_per_atom": 0.164, "total_energy_ev_per_cell": -6.3}

[4]
{"formula": "HgAs2Cl", "functional": "GGA-PBE", "state": "relaxed", "cell": [[-0.5229, 1.3368, 6.3199], [-4.2575, -2.7132, 4.0637], [4.7721, -0.8583, -4.3002]], "species": ["As", "As", "Hg", "Cl"], "fractional_positions": [[0.9335, 0.9335, 0.0000], [0.7799, 0.2799, 0.5000], [0.2630, 0.7630, 0.5000], [0.5237, 0.5237, 0.0000]], "m_tot_mub_per_fu": 0.00, "e_form_raw_ev_per_atom": 0.078, "total_energy_ev_per_cell": -11.1}